# DyCd2PbO6 (PBE, relaxed)
# density of states at the Fermi level	6.71	states/eV/cell
# formation energy (no corrections)	-1.474	eV/atom
# symmetry	R3
data_DyCd2PbO6
_chemical_formula_sum 'Dy1 Cd2 Pb1 O6'
_cell_length_a 6.087
_cell_length_b 6.087
_cell_length_c 6.087
_cell_angle_alpha 56.45
_cell_angle_beta 56.45
_cell_angle_gamma 56.45
_symmetry_space_group_name_H-M 'P 1'
_symmetry_Int_Tables_number 1
loop_
_symmetry_equiv_pos_as_xyz
'x,y,z'
loop_
_atom_site_label
_atom_site_fract_x
_atom_site_fract_y
_atom_site_fract_z
Dy1 0.000 0.000 0.000
Cd1 0.283 0.283 0.283
Cd2 0.786 0.786 0.786
Pb1 0.495 0.495 0.495
O1 0.109 0.693 0.389
O2 0.204 0.608 0.873
O3 0.389 0.109 0.693
O4 0.608 0.873 0.204
O5 0.693 0.389 0.109
O6 0.873 0.204 0.608


# DyCdPdO4 (PBE, relaxed)
# density of states at the Fermi level	5.55	states/eV/cell
# formation energy (no corrections)	-1.630	eV/atom
# symmetry	Imma
data_DyCdPdO4
_chemical_formula_sum 'Dy2 Cd2 Pd2 O8'
_cell_length_a 6.454
_cell_length_b 6.454
_cell_length_c 6.454
_cell_angle_alpha 115.83
_cell_angle_beta 115.23
_cell_angle_gamma 97.94
_symmetry_space_group_name_H-M 'P 1'
_symmetry_Int_Tables_number 1
loop_
_symmetry_equiv_pos_as_xyz
'x,y,z'
loop_
_atom_site_label
_atom_site_fract_x
_atom_site_fract_y
_atom_site_fract_z
Dy1 0.500 0.000 0.000
Dy2 0.500 0.500 0.500
Cd1 0.106 0.356 0.750
Cd2 0.894 0.644 0.250
Pd1 0.000 0.000 0.000
Pd2 0.500 0.000 0.500
O1 0.233 0.184 0.451
O2 0.233 0.782 0.049
O3 0.278 0.243 0.036
O4 0.293 0.757 0.536
O5 0.707 0.243 0.464
O6 0.722 0.757 0.964
O7 0.767 0.218 0.951
O8 0.767 0.816 0.549


# Pm2DyCdO (PBE, relaxed)
# density of states at the Fermi level	2.99	states/eV/cell
# formation energy (no corrections)	-1.303	eV/atom
# symmetry	P4/mmm
data_Pm2DyCdO
_chemical_formula_sum 'Pm2 Dy1 Cd1 O1'
_cell_length_a 4.956
_cell_length_b 4.956
_cell_length_c 4.770
_cell_angle_alpha 90.00
_cell_angle_beta 90.00
_cell_angle_gamma 90.00
_symmetry_space_group_name_H-M 'P 1'
_symmetry_Int_Tables_number 1
loop_
_symmetry_equiv_pos_as_xyz
'x,y,z'
loop_
_atom_site_label
_atom_site_fract_x
_atom_site_fract_y
_atom_site_fract_z
Pm1 0.000 0.500 0.000
Pm2 0.500 0.000 0.000
Dy1 0.000 0.000 0.500
Cd1 0.500 0.500 0.500
O1 0.000 0.000 0.000


# PmDy2CdO (PBE, relaxed)
# density of states at the Fermi level	2.51	states/eV/cell
# formation energy (no corrections)	-1.310	eV/atom
# symmetry	P4/mmm
data_PmDy2CdO
_chemical_formula_sum 'Pm1 Dy2 Cd1 O1'
_cell_length_a 4.794
_cell_length_b 4.794
_cell_length_c 4.933
_cell_angle_alpha 90.00
_cell_angle_beta 90.00
_cell_angle_gamma 90.00
_symmetry_space_group_name_H-M 'P 1'
_symmetry_Int_Tables_number 1
loop_
_symmetry_equiv_pos_as_xyz
'x,y,z'
loop_
_atom_site_label
_atom_site_fract_x
_atom_site_fract_y
_atom_site_fract_z
Pm1 0.000 0.000 0.000
Dy1 0.000 0.500 0.500
Dy2 0.500 0.000 0.500
Cd1 0.500 0.500 0.000
O1 0.000 0.000 0.500


# Pr2DyCdO (PBE, relaxed)
# density of states at the Fermi level	3.84	states/eV/cell
# formation energy (no corrections)	-1.277	eV/atom
# symmetry	P4/mmm
data_Pr2DyCdO
_chemical_formula_sum 'Pr2 Dy1 Cd1 O1'
_cell_length_a 5.069
_cell_length_b 5.069
_cell_length_c 4.739
_cell_angle_alpha 90.00
_cell_angle_beta 90.00
_cell_angle_gamma 90.00
_symmetry_space_group_name_H-M 'P 1'
_symmetry_Int_Tables_number 1
loop_
_symmetry_equiv_pos_as_xyz
'x,y,z'
loop_
_atom_site_label
_atom_site_fract_x
_atom_site_fract_y
_atom_site_fract_z
Pr1 0.000 0.500 0.000
Pr2 0.500 0.000 0.000
Dy1 0.000 0.000 0.500
Cd1 0.500 0.500 0.500
O1 0.000 0.000 0.000


# DyCdPtO4 (PBE, relaxed)
# density of states at the Fermi level	4.10	states/eV/cell
# formation energy (no corrections)	-1.605	eV/atom
# symmetry	Imma
data_DyCdPtO4
_chemical_formula_sum 'Dy2 Cd2 Pt2 O8'
_cell_length_a 6.423
_cell_length_b 6.423
_cell_length_c 6.423
_cell_angle_alpha 115.32
_cell_angle_beta 112.94
_cell_angle_gamma 100.52
_symmetry_space_group_name_H-M 'P 1'
_symmetry_Int_Tables_number 1
loop_
_symmetry_equiv_pos_as_xyz
'x,y,z'
loop_
_atom_site_label
_atom_site_fract_x
_atom_site_fract_y
_atom_site_fract_z
Dy1 0.500 0.000 0.000
Dy2 0.500 0.500 0.500
Cd1 0.098 0.348 0.750
Cd2 0.902 0.652 0.250
Pt1 0.000 0.000 0.000
Pt2 0.500 0.000 0.500
O1 0.224 0.166 0.442
O2 0.224 0.782 0.058
O3 0.290 0.750 0.540
O4 0.291 0.250 0.040
O5 0.709 0.750 0.960
O6 0.710 0.250 0.460
O7 0.776 0.218 0.942
O8 0.776 0.834 0.558